Compound: TlCr2As
Source: Alexandria
Functional: meta-GGA SCAN
Structure: single point on PBEsol structure

## Properties
Energy relative to the elements in eV per atom: 0.201
M_tot in μB/f.u.: 0.87
Symmetry: No. 99
ρ in g cm⁻³: 9.62
E in eV per atom: -32.13
Density of states at the Fermi level in states/eV/atom: 0.362
Energy relative to the lowest polymorph listed for this composition in eV/atom: 0.0000

Lattice parameters (Å, degrees): 2.944 2.944 7.630 90.00 90.00 90.00
Each line ends with the local moment (μB).
Fractional coordinates of all 4 atoms:
As (0.500, 0.500, 0.837)  0.06
Cr (0.500, 0.500, 0.183)  2.50
Cr (0.000, 0.000, 0.031)  -1.79
Tl (0.000, 0.000, 0.449)  0.00

Compound: AlH2S
Source: Alexandria
Functional: meta-GGA SCAN
Structure: single point on PBEsol structure

## Properties
M_tot in μB/f.u.: 0.00
Symmetry: No. 141
ρ in g cm⁻³: 2.49
E in eV per atom: -5.95
Density of states at the Fermi level in states/eV/atom: 0.123
Energy relative to the lowest polymorph listed for this composition in eV/atom: 0.0000

Lattice parameters (Å, degrees): 3.362 3.362 7.596 102.79 102.79 90.00
Fractional coordinates of all 8 atoms:
S (0.000, 0.000, 0.000)
H (0.125, 0.375, 0.750)
H (0.625, 0.875, 0.250)
Al (0.750, 0.250, 0.500)
S (0.250, 0.750, 0.500)
H (0.625, 0.375, 0.250)
H (0.625, 0.375, 0.750)
Al (0.500, 0.500, 0.000)

Compound: Ba2ReW
Source: Alexandria
Functional: meta-GGA SCAN
Structure: single point on PBEsol structure

## Properties
Energy relative to the elements in eV per atom: 0.708
M_tot in μB/f.u.: 0.55
Symmetry: No. 99
ρ in g cm⁻³: 9.73
E in eV per atom: -54.26
Density of states at the Fermi level in states/eV/atom: 1.123

Lattice parameters (Å, degrees): 3.314 3.314 10.022 90.00 90.00 90.00
Each line ends with the local moment (μB).
Fractional coordinates of all 4 atoms:
Ba (0.500, 0.500, 0.321)  0.08
W (0.500, 0.500, 0.678)  -0.02
Re (0.000, 0.000, 0.567)  -0.02
Ba (0.000, 0.000, 0.934)  0.09

Compound: Ru2Se
Source: Alexandria
Functional: meta-GGA SCAN
Structure: single point on PBEsol structure

## Properties
M_tot in μB/f.u.: 0.00
Symmetry: No. 164
ρ in g cm⁻³: 10.92
E in eV per atom: -29.58
Density of states at the Fermi level in states/eV/atom: 0.904
Energy relative to the lowest polymorph listed for this composition in eV/atom: 0.0909

Lattice parameters (Å, degrees): 2.960 4.084 4.084 120.00 90.00 90.00
Fractional coordinates of all 3 atoms:
Se (0.000, 0.000, 0.000)
Ru (0.747, 0.333, 0.667)
Ru (0.253, 0.667, 0.333)

Compound: SiB3Pd
Source: Alexandria
Functional: meta-GGA SCAN
Structure: single point on PBEsol structure

## Properties
M_tot in μB/f.u.: 0.00
Symmetry: No. 221
ρ in g cm⁻³: 4.18
E in eV per atom: -11.38
Density of states at the Fermi level in states/eV/atom: 0.310
Energy relative to the lowest polymorph listed for this composition in eV/atom: 0.0755

Lattice parameters (Å, degrees): 4.049 4.049 4.049 90.00 90.00 90.00
Fractional coordinates of all 5 atoms:
B (0.000, 0.000, 0.500)
B (0.500, 0.000, 0.000)
Pd (0.000, 0.000, 0.000)
Si (0.500, 0.500, 0.500)
B (0.000, 0.500, 0.000)

Compound: Na2AgGe2
Source: Alexandria
Functional: meta-GGA SCAN
Structure: single point on PBEsol structure

## Properties
Energy relative to the elements in eV per atom: -0.091
M_tot in μB/f.u.: 0.00
Symmetry: No. 127
ρ in g cm⁻³: 4.73
E in eV per atom: -15.69
Density of states at the Fermi level in states/eV/atom: 0.278

Lattice parameters (Å, degrees): 4.818 6.602 6.602 90.00 90.00 90.00
Fractional coordinates of all 10 atoms:
Na (0.500, 0.825, 0.325)
Na (0.500, 0.325, 0.175)
Ge (0.000, 0.369, 0.869)
Ag (0.000, 0.500, 0.500)
Ge (0.000, 0.131, 0.369)
Ge (0.000, 0.631, 0.131)
Ge (0.000, 0.869, 0.631)
Na (0.500, 0.675, 0.825)
Na (0.500, 0.175, 0.675)
Ag (0.000, 0.000, 0.000)

Compound: SrCo2Sb
Source: Alexandria
Functional: meta-GGA SCAN
Structure: single point on PBEsol structure

## Properties
M_tot in μB/f.u.: 3.30
Symmetry: No. 47
ρ in g cm⁻³: 5.75
E in eV per atom: -23.39
Density of states at the Fermi level in states/eV/atom: 0.608

Lattice parameters (Å, degrees): 4.251 4.686 4.744 90.00 90.00 90.00
Each line ends with the local moment (μB).
Fractional coordinates of all 4 atoms:
Sb (0.500, 0.000, 0.000)  0.03
Co (0.000, 0.271, 0.000)  1.73
Co (0.000, 0.729, 0.000)  1.73
Sr (0.500, 0.500, 0.500)  -0.04

Compound: SrSb2Ir
Source: Alexandria
Functional: meta-GGA SCAN
Structure: single point on PBEsol structure

## Properties
M_tot in μB/f.u.: 0.00
Symmetry: No. 44
ρ in g cm⁻³: 8.59
E in eV per atom: -42.29
Density of states at the Fermi level in states/eV/atom: 0.476

Lattice parameters (Å, degrees): 3.549 3.880 7.806 104.39 103.14 90.00
Fractional coordinates of all 4 atoms:
Ir (0.710, 0.210, 0.419)
Sb (0.079, 0.079, 0.157)
Sb (0.269, 0.769, 0.537)
Sr (0.443, 0.443, 0.886)

Question: Among the records above, which one has the lowest density of states at the Fermi level?
Answer: AlH2S

Question: density of states at the Fermi level of number 4 (Ru2Se)?
Answer: 0.904 states/eV/atom